w) Compound: BaBiPb3
Source: Alexandria via LeMat-Bulk
Functional: PBE
Structure: relaxed

Cell lengths 6.176, 6.176, 23.615 Å; angles 90.00, 90.00, 90.00 degrees
Space group I-4m2 (No. 119)
Inequivalent atoms, fractional coordinates:
Ba1 0.000 0.000 0.181 [4 per cell]
Bi1 0.000 0.000 0.500 [2 per cell]
Bi2 0.000 0.500 0.750 [2 per cell]
Pb1 0.000 0.249 0.620 [8 per cell]
Pb2 0.000 0.500 0.074 [4 per cell]

Density of states at the Fermi level in states/eV/cell: 15.9
Total moment in Bohr magnetons per cell: 0.000

=====

x) Compound: BaBiPb3
Source: Alexandria via LeMat-Bulk
Functional: PBE
Structure: relaxed

Cell lengths 6.255, 6.255, 6.255 Å; angles 90.00, 90.00, 90.00 degrees
Space group Pm-3m (No. 221)
Inequivalent atoms, fractional coordinates:
Ba1 0.000 0.000 0.000 [1 per cell]
Bi1 0.500 0.500 0.500 [1 per cell]
Pb1 0.000 0.000 0.500 [3 per cell]

Density of states at the Fermi level in states/eV/cell: 6.9
Total moment in Bohr magnetons per cell: 0.000

=====

Top of the stability list: w), leading by 0.962 eV/atom.

=====

w) Compound: BaBiPb3
Source: Alexandria via LeMat-Bulk
Functional: PBE
Structure: relaxed

Cell lengths 6.069, 6.069, 6.069 Å; angles 90.00, 90.00, 90.00 degrees
Space group Pm-3m (No. 221)
Inequivalent atoms, fractional coordinates:
Ba1 0.000 0.000 0.000 [1 per cell]
Bi1 0.500 0.500 0.500 [1 per cell]
Pb1 0.000 0.500 0.500 [3 per cell]

Density of states at the Fermi level in states/eV/cell: 4.8
Total moment in Bohr magnetons per cell: 0.000

=====

x) Compound: BaBiPb3
Source: Alexandria via LeMat-Bulk
Functional: PBE
Structure: relaxed

Cell lengths 5.520, 7.398, 9.784 Å; angles 103.37, 106.35, 90.10 degrees
Space group P-1 (No. 2)
Inequivalent atoms, fractional coordinates:
Ba1 0.085 0.348 0.171 [2 per cell]
Bi1 0.449 0.297 0.897 [2 per cell]
Pb1 0.144 0.898 0.289 [2 per cell]
Pb2 0.286 0.364 0.572 [2 per cell]
Pb3 0.307 0.827 0.613 [2 per cell]

Density of states at the Fermi level in states/eV/cell: 4.2
Total moment in Bohr magnetons per cell: 0.000

=====

Top of the stability list: x), leading by 0.441 eV/atom.

=====

w) Compound: BaBi4Pb
Source: Alexandria via LeMat-Bulk
Functional: PBE
Structure: relaxed

Cell lengths 4.430, 4.932, 10.405 Å; angles 100.72, 90.96, 91.65 degrees
Space group P-1 (No. 2)
Inequivalent atoms, fractional coordinates:
Ba1 0.000 0.000 0.000 [1 per cell]
Bi1 0.041 0.902 0.342 [2 per cell]
Bi2 0.482 0.454 0.831 [2 per cell]
Pb1 0.500 0.500 0.500 [1 per cell]

Density of states at the Fermi level in states/eV/cell: 3.5
Total moment in Bohr magnetons per cell: 0.000

=====

x) Compound: BaBi4Pb
Source: Alexandria via LeMat-Bulk
Functional: PBE
Structure: relaxed

Cell lengths 9.486, 9.486, 9.486 Å; angles 90.00, 90.00, 90.00 degrees
Space group F-43m (No. 216)
Inequivalent atoms, fractional coordinates:
Ba1 0.000 0.000 0.000 [4 per cell]
Bi1 0.124 0.124 0.376 [16 per cell]
Pb1 0.250 0.250 0.750 [4 per cell]

Density of states at the Fermi level in states/eV/cell: 13.8
Total moment in Bohr magnetons per cell: 0.000

=====

Top of the stability list: x), leading by 0.014 eV/atom.

=====

w) Compound: Ba2Bi3Pb
Source: Alexandria via LeMat-Bulk
Functional: PBE
Structure: relaxed

Cell lengths 3.825, 7.068, 17.935 Å; angles 90.00, 90.00, 90.00 degrees
Space group Immm (No. 71)
Inequivalent atoms, fractional coordinates:
Ba1 0.000 0.000 0.166 [4 per cell]
Bi1 0.000 0.500 0.157 [4 per cell]
Bi2 0.000 0.500 0.500 [2 per cell]
Pb1 0.000 0.000 0.500 [2 per cell]

Density of states at the Fermi level in states/eV/cell: 11.1
Total moment in Bohr magnetons per cell: 0.000

=====

x) Compound: Ba2Bi3Pb
Source: Alexandria via LeMat-Bulk
Functional: PBE
Structure: relaxed

Cell lengths 8.705, 5.268, 21.051 Å; angles 90.00, 90.00, 90.00 degrees
Space group Pnma (No. 62)
Inequivalent atoms, fractional coordinates:
Ba1 0.118 0.250 0.089 [4 per cell]
Ba2 0.126 0.250 0.295 [4 per cell]
Bi1 0.086 0.250 0.820 [4 per cell]
Bi2 0.185 0.250 0.681 [4 per cell]
Bi3 0.239 0.250 0.483 [4 per cell]
Pb1 0.076 0.750 0.433 [4 per cell]

Density of states at the Fermi level in states/eV/cell: 9.2
Total moment in Bohr magnetons per cell: 0.000

=====

Top of the stability list: x), leading by 0.224 eV/atom.